(1)
10
Lattice="4.435 0.000 0.000 0.000 4.191 0.000 -2.182 0.000 6.469" Properties=species:S:1:pos:R:3 comment="CoNi3Pt (PBE, relaxed)" e_tot_ev_per_atom=-6.115 n_ef_per_ev_cell=15.2 magmom_total_mub_per_atom=0.84 pbc="T T T"
Co 0.725 1.048 0.047
Co 1.528 3.144 6.422
Ni -0.683 3.144 5.250
Ni 0.794 1.048 2.550
Ni 1.501 3.144 1.214
Ni 0.752 1.048 5.256
Ni 1.459 3.144 3.920
Ni 2.936 1.048 1.219
Pt -0.703 3.144 2.508
Pt 2.956 1.048 3.962



(2)
16
Lattice="6.401 0.000 0.000 0.000 11.086 0.000 -0.029 0.000 6.304" Properties=species:S:1:pos:R:3 comment="NaTlSn6 (PBE, relaxed)" e_tot_ev_per_atom=-3.517 n_ef_per_ev_cell=9.6 magmom_total_mub_per_atom=0.00 pbc="T T T"
Na 0.000 0.000 0.000
Na 3.201 5.543 0.000
Tl -0.014 0.000 3.152
Tl 3.186 5.543 3.152
Sn -0.016 5.543 4.738
Sn 1.592 2.774 1.566
Sn 1.580 2.769 4.739
Sn 1.592 8.312 1.566
Sn 1.580 8.317 4.739
Sn 3.188 0.000 1.566
Sn 3.185 0.000 4.738
Sn 4.793 2.769 1.566
Sn 4.781 2.774 4.739
Sn 4.793 8.317 1.566
Sn 4.781 8.312 4.739
Sn 6.389 5.543 1.566



(3)
8
Lattice="3.129 0.000 0.000 0.000 4.746 0.000 0.000 0.000 13.259" Properties=species:S:1:pos:R:3 comment="HgRuBr2 (PBE, relaxed)" e_tot_ev_per_atom=-2.889 n_ef_per_ev_cell=6.3 magmom_total_mub_per_atom=0.00 raw_formation_energy_ev_per_atom=0.342 pbc="T T T"
Hg 0.000 0.000 0.000
Hg 1.565 2.373 6.630
Ru 0.000 2.373 9.051
Ru 1.565 0.000 2.421
Br 0.000 0.000 4.414
Br 0.000 2.373 2.198
Br 1.565 0.000 8.828
Br 1.565 2.373 11.044



(4)
10
Lattice="4.355 2.515 7.657 -4.355 2.515 7.657 0.000 -5.029 7.657" Properties=species:S:1:pos:R:3 comment="RbTbTl2I6 (PBE, relaxed)" e_tot_ev_per_atom=-3.088 n_ef_per_ev_cell=0.0 magmom_total_mub_per_atom=0.00 raw_formation_energy_ev_per_atom=-1.125 pbc="T T T"
Rb 0.000 0.000 0.000
Tb 0.000 0.000 11.240
Tl 0.000 0.000 6.748
Tl 0.000 0.000 18.525
I -2.419 -0.063 9.334
I -1.444 -2.099 12.921
I 1.264 -2.064 9.334
I -1.096 2.300 12.921
I 1.155 2.126 9.334
I 2.540 -0.201 12.921



(5)
8
Lattice="4.446 0.000 0.000 0.000 4.468 0.000 0.000 0.000 9.788" Properties=species:S:1:pos:R:3 comment="BaCd2Mo (PBE, relaxed)" e_tot_ev_per_atom=-3.055 n_ef_per_ev_cell=5.6 magmom_total_mub_per_atom=0.00 pbc="T T T"
Ba 0.000 0.000 0.000
Ba 2.223 2.234 0.000
Cd 0.000 0.000 5.130
Cd 0.000 2.234 2.901
Cd 2.223 0.000 2.901
Cd 2.223 2.234 5.130
Mo 0.000 2.234 7.057
Mo 2.223 0.000 7.057



(6)
5
Lattice="5.172 0.000 0.000 0.000 5.172 0.000 0.000 0.000 5.379" Properties=species:S:1:pos:R:3 comment="Sb2TePtN (PBE, relaxed)" e_tot_ev_per_atom=-3.614 n_ef_per_ev_cell=7.0 magmom_total_mub_per_atom=0.00 raw_formation_energy_ev_per_atom=1.536 pbc="T T T"
Sb 0.000 2.586 0.000
Sb 2.586 0.000 0.000
Te 0.000 0.000 2.689
Pt 0.000 0.000 0.000
N 2.586 2.586 2.689